[1]
First-principles (GGA-PBE) data for BaScTe2 after structural relaxation, as listed in Alexandria.

Cell lengths 5.6139, 5.6139, 5.6139 Å; angles 60.00, 60.00, 60.00 degrees
Each line ends with the local moment (μB).
Fractional coordinates of all 4 atoms:
Sc  0.0000  0.0000  0.0000  0.62
Te  0.2500  0.2500  0.2500  -0.03
Te  0.7500  0.7500  0.7500  -0.03
Ba  0.5000  0.5000  0.5000  0.06

Properties
formation energy without anion corrections	-1.0327	eV per atom
space-group type	Fm-3m (225)
relative energy among the computed polymorphs	0.356	eV/atom
E	-18.67	eV/cell

[2]
First-principles (GGA-PBE) data for ZrPa6S12 after structural relaxation, as listed in Alexandria.

Cell lengths 7.8078, 7.8078, 7.8078 Å; angles 99.40, 99.40, 99.40 degrees
Each line ends with the local moment (μB).
Fractional coordinates of all 19 atoms:
Zr  0.0000  0.0000  0.0000  0.42
Pa  0.6961  0.8669  0.3666  1.27
Pa  0.6334  0.3039  0.1331  1.27
Pa  0.1331  0.6334  0.3039  1.27
Pa  0.3039  0.1331  0.6334  1.27
Pa  0.3666  0.6961  0.8669  1.27
Pa  0.8669  0.3666  0.6961  1.27
S  0.8212  0.5713  0.4300  -0.04
S  0.4300  0.8212  0.5713  -0.04
S  0.5713  0.4300  0.8212  -0.04
S  0.1788  0.4287  0.5700  -0.04
S  0.5700  0.1788  0.4287  -0.04
S  0.4287  0.5700  0.1788  -0.04
S  0.0684  0.9696  0.3238  -0.04
S  0.0304  0.6762  0.9316  -0.04
S  0.6762  0.9316  0.0304  -0.04
S  0.9316  0.0304  0.6762  -0.04
S  0.9696  0.3238  0.0684  -0.04
S  0.3238  0.0684  0.9696  -0.04

Properties
formation energy without anion corrections	-1.5394	eV per atom
space-group type	R-3 (148)
E	-144.30	eV/cell

[3]
First-principles (GGA-PBE) data for La2TaCu3Ni12 after structural relaxation, as listed in Alexandria.

Cell lengths 9.1922, 9.1922, 9.1922 Å; angles 38.94, 38.94, 38.94 degrees
Fractional coordinates of all 18 atoms:
La  0.6515  0.6515  0.6515
La  0.3485  0.3485  0.3485
Ta  0.0000  0.0000  0.0000
Cu  0.5000  0.0000  0.0000
Cu  0.0000  0.5000  0.0000
Cu  0.0000  0.0000  0.5000
Ni  0.4204  0.4204  0.8062
Ni  0.9289  0.9289  0.3599
Ni  0.3599  0.9289  0.9289
Ni  0.8062  0.4204  0.4204
Ni  0.9289  0.3599  0.9289
Ni  0.4204  0.8062  0.4204
Ni  0.5796  0.5796  0.1938
Ni  0.0711  0.0711  0.6401
Ni  0.6401  0.0711  0.0711
Ni  0.1938  0.5796  0.5796
Ni  0.0711  0.6401  0.0711
Ni  0.5796  0.1938  0.5796

Properties
space-group type	R-3m (166)
E	-99.48	eV/cell

[4]
First-principles (GGA-PBE) data for Li5B8C8 after structural relaxation, as listed in Alexandria.

Cell lengths 7.7564, 7.7564, 9.4221 Å; angles 106.41, 106.41, 20.07 degrees
Fractional coordinates of all 21 atoms:
C  0.8805  0.8805  0.2720
C  0.6195  0.6195  0.9780
C  0.8687  0.8687  0.7662
C  0.6313  0.6313  0.4838
C  0.3682  0.3682  0.0162
C  0.1222  0.1222  0.7301
C  0.3778  0.3778  0.5199
C  0.1318  0.1318  0.2338
B  0.6254  0.6254  0.1436
B  0.8746  0.8746  0.1064
B  0.6253  0.6253  0.6479
B  0.8747  0.8747  0.6021
B  0.1195  0.1195  0.8971
B  0.3692  0.3692  0.8535
B  0.1308  0.1308  0.3965
B  0.3805  0.3805  0.3529
Li  0.4968  0.4968  0.7647
Li  0.2500  0.2500  0.6250
Li  0.7463  0.7463  0.8950
Li  0.0032  0.0032  0.4853
Li  0.7537  0.7537  0.3550

Properties
space-group type	C2/m (12)
relative energy among the computed polymorphs	0.016	eV/atom
E	-139.49	eV/cell

[5]
First-principles (GGA-PBE) data for TiCrHRh2 after structural relaxation, as listed in Alexandria.

Cell lengths 3.8886, 3.8886, 3.8251 Å; angles 90.00, 90.00, 90.00 degrees
Fractional coordinates of all 5 atoms:
Cr  0.0000  0.0000  0.5000
Rh  0.0000  0.5000  0.0000
Rh  0.5000  0.0000  0.0000
H  0.0000  0.0000  0.0000
Ti  0.5000  0.5000  0.5000

Properties
space-group type	P4/mmm (123)
relative energy among the computed polymorphs	0.026	eV/atom
E	-37.00	eV/cell

[6]
First-principles (GGA-PBE) data for TbZnGa2 after structural relaxation, as listed in Alexandria.

Cell lengths 4.2318, 4.2765, 4.2765 Å; angles 90.00, 90.00, 90.00 degrees
Fractional coordinates of all 4 atoms:
Zn  0.5000  0.0000  0.0000
Tb  0.5000  0.5000  0.5000
Ga  0.0000  0.0000  0.5000
Ga  0.0000  0.5000  0.0000

Properties
space-group type	P4/mmm (123)
E	-13.80	eV/cell

[7]
First-principles (GGA-PBE) data for Tb7Ge2Te2 after structural relaxation, as listed in Alexandria.

Cell lengths 6.9430, 7.0701, 6.9430 Å; angles 89.99, 100.45, 90.01 degrees
Fractional coordinates of all 11 atoms:
Tb  0.0000  0.2789  0.5001
Tb  0.5001  0.7211  0.0000
Tb  0.0000  0.7211  0.4999
Tb  0.4999  0.2789  0.0000
Tb  0.0000  0.0000  0.0000
Tb  0.5000  0.7318  0.5000
Tb  0.5000  0.2682  0.5000
Ge  0.7905  0.5000  0.7905
Ge  0.2095  0.5000  0.2095
Te  0.7203  0.0001  0.2797
Te  0.2797  0.9999  0.7203

Properties
formation energy without anion corrections	-0.4057	eV per atom
space-group type	Cmmm (65)
E	-52.39	eV/cell

[8]
First-principles (GGA-PBE) data for Rb2OsBr2F4 after structural relaxation, as listed in Alexandria.

Cell lengths 6.6501, 6.6501, 6.6501 Å; angles 96.65, 116.24, 116.24 degrees
Each line ends with the local moment (μB).
Fractional coordinates of all 9 atoms:
Rb  0.5000  0.7500  0.2500  0.00
Rb  0.5000  0.2500  0.7500  0.00
Os  0.0000  0.0000  0.0000  1.51
Br  0.0000  0.7172  0.7172  0.03
Br  0.0000  0.2828  0.2828  0.03
F  0.0000  0.8012  0.1988  0.07
F  0.6023  0.8012  0.8012  0.07
F  0.0000  0.1988  0.8012  0.07
F  0.3977  0.1988  0.1988  0.07

Properties
formation energy without anion corrections	-1.7853	eV per atom
space-group type	I4/mmm (139)
E	-40.06	eV/cell

[9]
First-principles (GGA-PBE) data for Y2CdHg after structural relaxation, as listed in Alexandria.

Cell lengths 3.7422, 3.7422, 7.4650 Å; angles 90.00, 90.00, 90.00 degrees
Fractional coordinates of all 4 atoms:
Y  0.0000  0.0000  0.7527
Y  0.0000  0.0000  0.2473
Cd  0.5000  0.5000  0.5000
Hg  0.5000  0.5000  0.0000

Properties
space-group type	P4/mmm (123)
relative energy among the computed polymorphs	0.000	eV/atom
E	-15.87	eV/cell

[10]
First-principles (GGA-PBE) data for SrBeSi4 after structural relaxation, as listed in Alexandria.

Cell lengths 5.2851, 5.2851, 5.2851 Å; angles 60.00, 60.00, 60.00 degrees
Fractional coordinates of all 6 atoms:
Sr  0.7500  0.7500  0.7500
Be  0.0000  0.0000  0.0000
Si  0.8805  0.3732  0.3732
Si  0.3732  0.3732  0.8805
Si  0.3732  0.8805  0.3732
Si  0.3732  0.3732  0.3732

Properties
formation energy without anion corrections	0.3420	eV per atom
space-group type	F-43m (216)
E	-25.05	eV/cell

[11]
First-principles (GGA-PBE) data for SrMnNb2B after structural relaxation, as listed in Alexandria.

Cell lengths 4.9192, 4.5455, 4.9192 Å; angles 90.00, 90.00, 90.00 degrees
Each line ends with the local moment (μB).
Fractional coordinates of all 5 atoms:
Sr  0.0000  0.0000  0.0000  -0.03
Nb  0.0000  0.0000  0.5000  -0.30
Nb  0.5000  0.0000  0.0000  -0.58
Mn  0.0000  0.5000  0.0000  3.14
B  0.5000  0.5000  0.5000  -0.01

Properties
space-group type	P4/mmm (123)
E	-21.43	eV/cell

[12]
First-principles (GGA-PBE) data for K2ReP after structural relaxation, as listed in Alexandria.

Cell lengths 12.4889, 12.4889, 9.1174 Å; angles 46.77, 46.77, 90.00 degrees
Each line ends with the local moment (μB).
Fractional coordinates of all 8 atoms:
Re  0.0000  0.0000  0.0000  1.65
Re  0.7500  0.2500  0.5000  1.65
K  0.4224  0.1250  0.2500  0.00
K  0.3276  0.6250  0.2500  0.00
K  0.3750  0.5776  0.7500  0.00
K  0.8750  0.6724  0.7500  0.00
P  0.5000  0.5000  0.0000  -0.04
P  0.2500  0.7500  0.5000  -0.04

Properties
space-group type	I-42d (122)
relative energy among the computed polymorphs	0.357	eV/atom
E	-35.83	eV/cell

[13]
First-principles (GGA-PBE) data for ZrMn5Ir after structural relaxation, as listed in Alexandria.

Cell lengths 4.7546, 7.9586, 9.8798 Å; angles 90.00, 90.00, 90.00 degrees
Each line ends with the local moment (μB).
Fractional coordinates of all 28 atoms:
Zr  0.2500  0.2470  0.9370  -0.08
Zr  0.7500  0.2530  0.4370  -0.08
Zr  0.2500  0.7470  0.5630  -0.08
Zr  0.7500  0.7530  0.0630  -0.08
Mn  0.2500  0.5854  0.0284  1.93
Mn  0.7500  0.9146  0.5284  1.93
Mn  0.2500  0.0854  0.4716  1.93
Mn  0.7500  0.4146  0.9716  1.93
Mn  0.7500  0.3098  0.7448  -0.87
Mn  0.2500  0.1902  0.2448  -0.87
Mn  0.7500  0.8098  0.7552  -0.87
Mn  0.2500  0.6902  0.2552  -0.87
Mn  0.2500  0.9494  0.0940  2.59
Mn  0.7500  0.5506  0.5940  2.59
Mn  0.2500  0.4494  0.4060  2.59
Mn  0.7500  0.0506  0.9060  2.59
Mn  0.9886  0.4252  0.1893  -0.55
Mn  0.0114  0.0748  0.6893  -0.55
Mn  0.5114  0.9252  0.3107  -0.55
Mn  0.4886  0.5748  0.8107  -0.55
Mn  0.0114  0.5748  0.8107  -0.55
Mn  0.9886  0.9252  0.3107  -0.55
Mn  0.4886  0.0748  0.6893  -0.55
Mn  0.5114  0.4252  0.1893  -0.55
Ir  0.2500  0.8636  0.8532  0.00
Ir  0.7500  0.6364  0.3532  0.00
Ir  0.2500  0.3636  0.6468  0.00
Ir  0.7500  0.1364  0.1468  0.00

Properties
space-group type	Pnma (62)
E	-258.67	eV/cell

[14]
First-principles (GGA-PBE) data for Cu2AsRu after structural relaxation, as listed in Alexandria.

Cell lengths 4.6347, 4.6347, 4.6347 Å; angles 132.33, 132.41, 69.65 degrees
Fractional coordinates of all 4 atoms:
As  0.7500  0.2500  0.5000
Cu  0.0001  0.0001  0.0000
Cu  0.2500  0.7500  0.5000
Ru  0.4999  0.4999  0.0000

Properties
space-group type	I-4m2 (119)
E	-21.71	eV/cell

[15]
First-principles (GGA-PBE) data for Tm3Bi2Pb after structural relaxation, as listed in Alexandria.

Cell lengths 9.9106, 9.9106, 9.9106 Å; angles 154.23, 154.23, 36.76 degrees
Fractional coordinates of all 6 atoms:
Tm  0.5000  0.5000  0.0000
Tm  0.8342  0.8342  0.0000
Tm  0.1658  0.1658  0.0000
Bi  0.6675  0.6675  0.0000
Bi  0.3325  0.3325  0.0000
Pb  0.0000  0.0000  0.0000

Properties
space-group type	I4/mmm (139)
E	-28.53	eV/cell

[16]
First-principles (GGA-PBE) data for NiRu2 after structural relaxation, as listed in Alexandria.

Cell lengths 5.0117, 5.0117, 5.0117 Å; angles 60.00, 60.00, 60.00 degrees
Each line ends with the local moment (μB).
Fractional coordinates of all 6 atoms:
Ni  0.0000  0.0000  0.0000  0.73
Ni  0.2500  0.2500  0.2500  0.73
Ru  0.6250  0.6250  0.6250  0.73
Ru  0.1250  0.6250  0.6250  0.73
Ru  0.6250  0.1250  0.6250  0.73
Ru  0.6250  0.6250  0.1250  0.73

Properties
space-group type	Fd-3m (227)
relative energy among the computed polymorphs	0.721	eV/atom
E	-44.05	eV/cell

[17]
First-principles (GGA-PBE) data for GeSeO2F after structural relaxation, as listed in Alexandria.

Cell lengths 3.8952, 3.8952, 3.9612 Å; angles 90.00, 90.00, 90.00 degrees
Each line ends with the local moment (μB).
Fractional coordinates of all 5 atoms:
Ge  0.0000  0.0000  0.0000  0.00
O  0.0000  0.5000  0.0000  0.03
O  0.5000  0.0000  0.0000  0.03
Se  0.5000  0.5000  0.5000  0.17
F  0.0000  0.0000  0.5000  0.02

Properties
formation energy without anion corrections	-0.5254	eV per atom
space-group type	P4/mmm (123)
E	-22.52	eV/cell

[18]
First-principles (GGA-PBE) data for GePd after structural relaxation, as listed in Alexandria.

Cell lengths 7.5691, 7.5691, 7.5691 Å; angles 90.00, 90.00, 90.00 degrees
Fractional coordinates of all 16 atoms:
Ge  0.1861  0.1861  0.1861
Ge  0.1861  0.8139  0.8139
Ge  0.8139  0.1861  0.8139
Ge  0.8139  0.8139  0.1861
Ge  0.6861  0.6861  0.6861
Ge  0.6861  0.3139  0.3139
Ge  0.3139  0.6861  0.3139
Ge  0.3139  0.3139  0.6861
Pd  0.3663  0.3663  0.3663
Pd  0.3663  0.6337  0.6337
Pd  0.6337  0.3663  0.6337
Pd  0.6337  0.6337  0.3663
Pd  0.8663  0.8663  0.8663
Pd  0.8663  0.1337  0.1337
Pd  0.1337  0.8663  0.1337
Pd  0.1337  0.1337  0.8663

Properties
space-group type	I-43m (217)
E	-78.68	eV/cell

[19]
First-principles (GGA-PBE) data for CsThBr6 after structural relaxation, as listed in Alexandria.

Cell lengths 8.1003, 8.1003, 9.9500 Å; angles 90.00, 90.00, 90.00 degrees
Fractional coordinates of all 16 atoms:
Cs  0.0000  0.0000  0.5000
Cs  0.0000  0.0000  0.0000
Th  0.5000  0.5000  0.7500
Th  0.5000  0.5000  0.2500
Br  0.1991  0.3326  0.3220
Br  0.8009  0.6674  0.3220
Br  0.6674  0.1991  0.8220
Br  0.3326  0.8009  0.8220
Br  0.8009  0.6674  0.6780
Br  0.1991  0.3326  0.6780
Br  0.3326  0.8009  0.1780
Br  0.6674  0.1991  0.1780
Br  0.3895  0.6968  0.5000
Br  0.6105  0.3032  0.5000
Br  0.3032  0.3895  0.0000
Br  0.6968  0.6105  0.0000

Properties
formation energy without anion corrections	-1.4628	eV per atom
space-group type	P4_2/m (84)
relative energy among the computed polymorphs	0.002	eV/atom
E	-60.03	eV/cell

[20]
First-principles (GGA-PBE) data for Rb2MgHBr6 after structural relaxation, as listed in Alexandria.

Cell lengths 7.0615, 7.0615, 7.9882 Å; angles 63.77, 63.77, 90.00 degrees
Fractional coordinates of all 10 atoms:
H  0.5000  0.5000  0.0000
Mg  0.0000  0.0000  0.0000
Br  0.2084  0.2084  0.5832
Br  0.7916  0.7916  0.4168
Br  0.2757  0.2757  0.0000
Br  0.7243  0.7243  0.0000
Br  0.7243  0.2757  0.0000
Br  0.2757  0.7243  0.0000
Rb  0.7500  0.2500  0.5000
Rb  0.2500  0.7500  0.5000

Properties
space-group type	I4/mmm (139)
E	-26.13	eV/cell

[21]
First-principles (GGA-PBE) data for ZrMoCl3 after structural relaxation, as listed in Alexandria.

Cell lengths 4.8250, 4.8250, 4.8250 Å; angles 90.00, 90.00, 90.00 degrees
Each line ends with the local moment (μB).
Fractional coordinates of all 5 atoms:
Mo  0.0000  0.0000  0.0000  0.59
Zr  0.5000  0.5000  0.5000  1.67
Cl  0.0000  0.5000  0.0000  -0.01
Cl  0.0000  0.0000  0.5000  0.00
Cl  0.5000  0.0000  0.0000  0.01

Properties
formation energy without anion corrections	0.3531	eV per atom
space-group type	Pm-3m (221)
relative energy among the computed polymorphs	0.415	eV/atom
E	-23.15	eV/cell

[22]
First-principles (GGA-PBE) data for Ac2Pr2Nd after structural relaxation, as listed in Alexandria.

Cell lengths 5.4158, 6.6375, 6.5941 Å; angles 80.63, 65.75, 65.92 degrees
Fractional coordinates of all 5 atoms:
Ac  0.7026  0.7003  0.3944
Ac  0.2974  0.2997  0.6056
Pr  0.1037  0.0962  0.1963
Pr  0.8963  0.9038  0.8037
Nd  0.5000  0.5000  0.0000

Properties
space-group type	C2/m (12)
relative energy among the computed polymorphs	0.000	eV/atom
E	-22.38	eV/cell

[23]
First-principles (GGA-PBE) data for PuGa4Sb after structural relaxation, as listed in Alexandria.

Cell lengths 5.6086, 5.6086, 5.6086 Å; angles 60.00, 60.00, 60.00 degrees
Each line ends with the local moment (μB).
Fractional coordinates of all 6 atoms:
Sb  0.2500  0.2500  0.2500  0.03
Ga  0.6252  0.6252  0.1243  0.05
Ga  0.6252  0.1243  0.6252  0.05
Ga  0.6252  0.6252  0.6252  0.05
Ga  0.1243  0.6252  0.6252  0.05
Pu  0.0000  0.0000  0.0000  5.52

Properties
formation energy without anion corrections	-0.1241	eV per atom
space-group type	F-43m (216)
E	-31.31	eV/cell